PBE CaBe2SnP, relaxed; ΔH_f (0 K) = 0.647 eV/atom; DFT total energy = -3.13 eV per atom
1.0
4.444 0.000 0.000
0.000 4.444 0.000
0.000 0.000 6.292
Ca Be Sn P
1 2 1 1
Direct
0.000 0.000 0.000 Ca
0.000 0.500 0.500 Be
0.500 0.000 0.500 Be
0.000 0.000 0.500 Sn
0.500 0.500 0.000 P